[1]
This record from Alexandria describes Rb2ScCdBr6 after structural relaxation. The functional is PBE.

Summary:
For the density of states at the Fermi level, the calculation gives 0.630 states/eV/atom. The calculation puts the size of the total moment at 0.00 μB/atom. For the uncorrected formation energy, the calculation gives -14.3 eV per formula unit.

abc: 8.0029 8.0029 11.2928
angles: 90.00 90.00 90.00
Last column: nearest neighbours and their distance in Å.
Space group I4/mmm (No. 139)
Unique sites:
Rb (0.0000, 0.5000, 0.2500) (multiplicity 4)  12 Br 4.00
Sc (0.0000, 0.0000, 0.0000) (multiplicity 2)  6 Br 2.68
Cd (0.0000, 0.0000, 0.5000) (multiplicity 2)  6 Br 2.97-2.98
Br (0.0000, 0.0000, 0.2371) (multiplicity 4)  1 Sc 2.68, 1 Cd 2.97
Br (0.2365, 0.2365, 0.0000) (multiplicity 8)  1 Sc 2.68, 1 Cd 2.98

***

[2]
This record from Alexandria describes Rb2ErRhO4 after structural relaxation. The functional is PBE.

Summary:
The calculation puts the size of the total moment at 0.00 μB/atom. For the uncorrected formation energy, the calculation gives -14.2 eV per formula unit.

abc: 5.6722 3.3949 6.7281
angles: 90.00 107.46 90.00
Last column: nearest neighbours and their distance in Å.
Space group P2/m (No. 10)
Unique sites:
Rb (0.0000, 0.0000, 0.0000) (multiplicity 1)  6 O 2.85-2.90
Rb (0.5000, 0.5000, 0.0000) (multiplicity 1)  6 O 2.81
Er (0.0000, 0.5000, 0.5000) (multiplicity 1)  6 O 2.26-2.28
Rh (0.5000, 0.0000, 0.5000) (multiplicity 1)  6 O 2.17-2.20
O (0.2336, 0.0000, 0.6787) (multiplicity 2)  1 Rh 2.20, 2 Er 2.26
O (0.2946, 0.5000, 0.3320) (multiplicity 2)  2 Rh 2.17, 1 Er 2.28

***

[3]
This record from Alexandria describes ErThCo2 after structural relaxation. The functional is PBE.

Summary:
For the density of states at the Fermi level, the calculation gives 0.843 states/eV/atom. The calculation puts the size of the total moment at 0.00 μB/atom. Its energy above the most stable polymorph in this dataset is 0.116 eV per atom. The energy of formation from the pure elements comes out at -0.17 eV/atom.

abc: 6.7731 6.7731 6.7731
angles: 90.00 90.00 90.00
Last column: nearest neighbours and their distance in Å.
Space group Fm-3m (No. 225)
Unique sites:
Er (0.0000, 0.0000, 0.0000) (multiplicity 4)  8 Co 2.93
Th (0.0000, 0.0000, 0.5000) (multiplicity 4)  8 Co 2.93
Co (0.2500, 0.2500, 0.2500) (multiplicity 8)  4 Th 2.93, 4 Er 2.93

***

[4]
This record from Alexandria describes Th2NbC3 after structural relaxation. The functional is PBE.

Summary:
For the density of states at the Fermi level, the calculation gives 0.291 states/eV/atom. The calculation puts the size of the total moment at 0.00 μB/atom. The energy of formation from the pure elements comes out at -0.17 eV/atom.

abc: 4.1725 13.4624 3.6415
angles: 90.00 90.00 90.00
Last column: nearest neighbours and their distance in Å.
Space group Imm2 (No. 44)
Unique sites:
Th (0.0000, 0.1483, 0.0000) (multiplicity 4)  7 C 2.54-2.78
Nb (0.0000, 0.5000, 0.9984) (multiplicity 2)  4 C 2.09-2.20
C (0.0000, 0.0000, 0.5156) (multiplicity 2)  2 Nb 2.09
C (0.0000, 0.3369, 0.0010) (multiplicity 4)  1 Nb 2.20